A plane-wave DFT calculation with PBE-GGA was carried out for a relaxed structure of SrZrS3.

Cell lengths 5.233, 5.233, 5.233 Å; angles 90.00, 90.00, 90.00 degrees
Space group Pm-3m (No. 221)
Symmetry-distinct sites (fractional):
Sr: 0.000 0.000 0.000 x1
Zr: 0.500 0.500 0.500 x1
S: 0.000 0.000 0.500 x3

Total magnetization = 0.00 μB/f.u.
Energy = -21.3 eV/cell
Crystal system = cubic
Calculated volume = 28.7 A^3/atom
Formation energy without anion corrections = 267 meV/atom

***

A plane-wave DFT calculation with PBE-GGA was carried out for a relaxed structure of B2C3.

Cell lengths 2.469, 13.090, 4.035 Å; angles 90.00, 90.00, 90.00 degrees
Space group Imma (No. 74)
Symmetry-distinct sites (fractional):
B: 0.000 0.148 0.085 x8
C: 0.000 0.044 0.857 x8
C: 0.000 0.250 0.855 x4

DFT formation energy = 0.3478 eV per atom
Total magnetization = 0.00 μB/f.u.
Energy = -157.2 eV/cell
Crystal system = orthorhombic
Calculated volume = 6.5 A^3/atom